CoTc2Sb | GGA-PBE | relaxed

a = 4.7801 Å, b = 4.7801 Å, c = 4.7801 Å
α = 131.80°, β = 131.80°, γ = 70.55°
Atoms (fractional coordinates):
Co: 0.2500 0.7500 0.5000
Sb: 0.7500 0.2500 0.5000
Tc: 0.0000 0.0000 0.0000
Tc: 0.5000 0.5000 0.0000

Output
E   -30.99 eV/cell
Magnetization   0.0 μB per cell
SG   I4/mmm (139)
Energy relative to the elements, uncorrected   0.242 eV/atom